A plane-wave DFT calculation with GGA-PBEsol was carried out for a relaxed Li2MgSc crystal.

Calculated values
Crystal system: monoclinic
Raw total energy (eV/atom): -2.971
Calculated formation energy (eV/atom): 0.09

```
4
Lattice="3.065 0.000 0.000 -1.532 5.129 0.020 0.000 -0.837 5.408" Properties=species:S:1:pos:R:3 pbc="T T T"
Mg 1.532 0.000 0.000
Sc 0.000 -0.418 2.704
Li 1.532 1.970 4.104
Li 0.000 2.322 1.324
```